Below is crystalline PmDyAlAg at its relaxed geometry, with properties calculated at the PBE-GGA level.

Lattice parameters (Å, degrees): 7.3877 7.3877 7.3877 90.00 90.00 90.00
Last column: nearest neighbours and their distance in Å.
Space group F-43m (No. 216)
One atom of each set of equivalent atoms:
Pm  0.0000  0.0000  0.0000 [4 per cell]  4 Al 3.20, 4 Ag 3.20
Dy  0.0000  0.0000  0.5000 [4 per cell]  4 Al 3.20, 4 Ag 3.20
Al  0.2500  0.2500  0.2500 [4 per cell]  4 Dy 3.20, 4 Pm 3.20
Ag  0.2500  0.2500  0.7500 [4 per cell]  4 Dy 3.20, 4 Pm 3.20

Results
- Formation energy from the elements: -1.3 eV per formula unit
- Mass density: 7287 kg/m3
- Distance to the lowest polymorph of the same formula: 31 meV per atom